Here is a relaxed Ac2PrAgS5 crystal from Alexandria via LeMat-Bulk. Energies are from PBE-GGA.

Cell and atoms, written as extended XYZ:
```
18
Lattice="-0.5449 3.9826 1.1584 -8.2824 -2.9172 -1.4203 -0.7928 -3.6095 12.0372" Properties=species:S:1:pos:R:3 pbc="T T T"
Ac -7.3592 -1.6107 9.6297
Ac -2.5060 -2.6781 8.0290
Ac -2.3475 -1.3272 3.4589
Ac -7.0080 0.6173 2.1347
Pr -5.9632 -0.3898 6.0888
Pr -3.2621 -0.3564 -0.3092
Ag -1.4150 -1.5676 12.2780
Ag -8.5618 -2.6001 4.9118
S -6.0986 -0.6617 -0.5941
S -4.2874 -1.4123 10.3927
S -0.9236 -0.8242 9.9532
S -5.5431 -2.9241 7.4458
S -8.5617 -0.9455 6.7770
S -3.1259 -0.0810 6.3617
S -5.4796 -1.8003 3.6120
S -8.7426 -1.9294 2.5209
S -3.9336 1.0328 2.1524
S -0.7871 -0.3630 0.8778
```

Properties
SG: Cmc2_1, No. 36
Total DFT energy (no corrections) in eV/atom: -5.832